Version i
Compound: LaInW
Source: Alexandria
Functional: PBE-GGA
Structure: optimized geometry Values from VASP.

Cell and atoms, written as Quantum ESPRESSO input:
```
&SYSTEM
  ibrav = 0, nat = 3, ntyp = 3
/
ATOMIC_SPECIES
La 138.91 La.upf
In 114.82 In.upf
W 183.84 W.upf
ATOMIC_POSITIONS crystal
La 0.000 0.000 0.000
In 0.689 0.689 0.000
W 0.331 0.331 0.000
CELL_PARAMETERS angstrom
-1.505 1.505 7.543
1.505 -1.505 7.543
1.505 1.505 -7.543
```

Summary:
Its density of states at the Fermi level is 2.35 states/eV/cell. The total magnetization is 0.000 μB/atom. The space group is No. 107.

Version ii
Compound: LaInW
Source: Alexandria
Functional: PBE-GGA
Structure: optimized geometry Values from VASP.

Cell and atoms, written as Quantum ESPRESSO input:
```
&SYSTEM
  ibrav = 0, nat = 3, ntyp = 3
/
ATOMIC_SPECIES
La 138.91 La.upf
In 114.82 In.upf
W 183.84 W.upf
ATOMIC_POSITIONS crystal
La 0.000 0.000 0.000
In 0.500 0.500 0.500
W 0.250 0.250 0.250
CELL_PARAMETERS angstrom
0.000 3.400 3.400
3.400 0.000 3.400
3.400 3.400 0.000
```

Summary:
Its density of states at the Fermi level is 4.98 states/eV/cell. The total magnetization is 0.001 μB/atom. The space group is No. 216.

Relative energies with respect to the most stable structure, expressed in eV/atom: version i 0.000; version ii 0.377.

Version i
Compound: LaInW
Source: Alexandria
Functional: PBE-GGA
Structure: optimized geometry Values from VASP.

Cell and atoms, written as Quantum ESPRESSO input:
```
&SYSTEM
  ibrav = 0, nat = 3, ntyp = 3
/
ATOMIC_SPECIES
La 138.91 La.upf
In 114.82 In.upf
W 183.84 W.upf
ATOMIC_POSITIONS crystal
La 0.000 0.000 0.000
In 0.708 0.708 0.000
W 0.331 0.331 0.000
CELL_PARAMETERS angstrom
-1.537 1.938 6.103
1.537 -1.938 6.103
1.537 1.938 -6.103
```

Summary:
Its density of states at the Fermi level is 3.24 states/eV/cell. The total magnetization is 0.000 μB/atom. The space group is No. 44.

Version ii
Compound: LaInW
Source: Alexandria
Functional: PBE-GGA
Structure: optimized geometry Values from VASP.

Cell and atoms, written as Quantum ESPRESSO input:
```
&SYSTEM
  ibrav = 0, nat = 3, ntyp = 3
/
ATOMIC_SPECIES
La 138.91 La.upf
In 114.82 In.upf
W 183.84 W.upf
ATOMIC_POSITIONS crystal
La 0.000 0.000 0.000
In 0.250 0.250 0.250
W 0.750 0.750 0.750
CELL_PARAMETERS angstrom
0.000 3.593 3.593
3.593 0.000 3.593
3.593 3.593 0.000
```

Summary:
Its density of states at the Fermi level is 3.45 states/eV/cell. The total magnetization is 0.975 μB/atom. The space group is No. 216.

Relative energies with respect to the most stable structure, expressed in eV/atom: version i 0.000; version ii 0.948.

Version i
Compound: LaYIn
Source: Alexandria
Functional: PBE-GGA
Structure: optimized geometry Values from VASP.

Cell and atoms, written as Quantum ESPRESSO input:
```
&SYSTEM
  ibrav = 0, nat = 3, ntyp = 3
/
ATOMIC_SPECIES
La 138.91 La.upf
Y 88.91 Y.upf
In 114.82 In.upf
ATOMIC_POSITIONS crystal
La 0.000 0.000 0.000
Y 0.304 0.304 0.000
In 0.662 0.662 0.000
CELL_PARAMETERS angstrom
-1.819 1.819 7.092
1.819 -1.819 7.092
1.819 1.819 -7.092
```

Summary:
Its density of states at the Fermi level is 2.71 states/eV/cell. The total magnetization is 0.000 μB/atom. The space group is No. 107.

Version ii
Compound: LaYIn
Source: Alexandria
Functional: PBE-GGA
Structure: optimized geometry Values from VASP.

Cell and atoms, written as Quantum ESPRESSO input:
```
&SYSTEM
  ibrav = 0, nat = 3, ntyp = 3
/
ATOMIC_SPECIES
La 138.91 La.upf
Y 88.91 Y.upf
In 114.82 In.upf
ATOMIC_POSITIONS crystal
La 0.000 0.000 0.000
Y 0.500 0.500 0.500
In 0.250 0.250 0.250
CELL_PARAMETERS angstrom
0.000 3.769 3.769
3.769 0.000 3.769
3.769 3.769 0.000
```

Summary:
Its density of states at the Fermi level is 5.52 states/eV/cell. The total magnetization is 0.011 μB/atom. The space group is No. 216.

Relative energies with respect to the most stable structure, expressed in eV/atom: version i 0.000; version ii 0.175.

Version i
Compound: La3YIn3
Source: Alexandria
Functional: PBE-GGA
Structure: optimized geometry Values from VASP.

Cell and atoms, written as Quantum ESPRESSO input:
```
&SYSTEM
  ibrav = 0, nat = 14, ntyp = 3
/
ATOMIC_SPECIES
La 138.91 La.upf
Y 88.91 Y.upf
In 114.82 In.upf
ATOMIC_POSITIONS crystal
La 0.179 0.821 0.000
La 0.241 0.759 0.500
La 0.403 0.403 0.180
La 0.597 0.597 0.820
La 0.759 0.241 0.500
La 0.821 0.179 0.000
Y 0.275 0.275 0.542
Y 0.725 0.725 0.458
In 0.023 0.023 0.272
In 0.056 0.474 0.761
In 0.474 0.056 0.761
In 0.526 0.944 0.239
In 0.944 0.526 0.239
In 0.977 0.977 0.728
CELL_PARAMETERS angstrom
4.236 -5.462 0.000
4.236 5.462 0.000
-0.403 0.000 9.920
```

Summary:
Its density of states at the Fermi level is 15.92 states/eV/cell. The total magnetization is 0.000 μB/atom. The space group is No. 12.

Version ii
Compound: La3YIn3
Source: Alexandria
Functional: PBE-GGA
Structure: optimized geometry Values from VASP.

Cell and atoms, written as Quantum ESPRESSO input:
```
&SYSTEM
  ibrav = 0, nat = 28, ntyp = 3
/
ATOMIC_SPECIES
La 138.91 La.upf
Y 88.91 Y.upf
In 114.82 In.upf
ATOMIC_POSITIONS crystal
La 0.067 0.433 0.567
La 0.166 0.834 0.334
La 0.177 0.177 0.177
La 0.323 0.823 0.677
La 0.334 0.166 0.834
La 0.433 0.567 0.067
La 0.567 0.067 0.433
La 0.666 0.666 0.666
La 0.677 0.323 0.823
La 0.823 0.677 0.323
La 0.834 0.334 0.166
La 0.933 0.933 0.933
Y 0.078 0.578 0.922
Y 0.422 0.422 0.422
Y 0.578 0.922 0.078
Y 0.922 0.078 0.578
In 0.007 0.258 0.865
In 0.135 0.507 0.242
In 0.242 0.135 0.507
In 0.258 0.865 0.007
In 0.365 0.493 0.742
In 0.493 0.742 0.365
In 0.507 0.242 0.135
In 0.635 0.993 0.758
In 0.742 0.365 0.493
In 0.758 0.635 0.993
In 0.865 0.007 0.258
In 0.993 0.758 0.635
CELL_PARAMETERS angstrom
9.680 0.000 0.000
0.000 9.680 0.000
0.000 0.000 9.680
```

Summary:
Its density of states at the Fermi level is 30.76 states/eV/cell. The total magnetization is 0.000 μB/atom. The space group is No. 198.

Relative energies with respect to the most stable structure, expressed in eV/atom: version i 0.060; version ii 0.000.

Version i
Compound: LaY4In
Source: Alexandria
Functional: PBE-GGA
Structure: optimized geometry Values from VASP.

Cell and atoms, written as Quantum ESPRESSO input:
```
&SYSTEM
  ibrav = 0, nat = 6, ntyp = 3
/
ATOMIC_SPECIES
La 138.91 La.upf
Y 88.91 Y.upf
In 114.82 In.upf
ATOMIC_POSITIONS crystal
La 0.000 0.000 0.000
Y 0.125 0.625 0.625
Y 0.625 0.125 0.625
Y 0.625 0.625 0.125
Y 0.625 0.625 0.625
In 0.250 0.250 0.250
CELL_PARAMETERS angstrom
0.000 4.614 4.614
4.614 0.000 4.614
4.614 4.614 0.000
```

Summary:
Its density of states at the Fermi level is 8.47 states/eV/cell. The total magnetization is 0.224 μB/atom. The space group is No. 216.

Version ii
Compound: LaY4In
Source: Alexandria
Functional: PBE-GGA
Structure: optimized geometry Values from VASP.

Cell and atoms, written as Quantum ESPRESSO input:
```
&SYSTEM
  ibrav = 0, nat = 12, ntyp = 3
/
ATOMIC_SPECIES
La 138.91 La.upf
Y 88.91 Y.upf
In 114.82 In.upf
ATOMIC_POSITIONS crystal
La 0.180 0.820 0.500
La 0.820 0.180 0.000
Y 0.006 0.994 0.765
Y 0.171 0.829 0.010
Y 0.350 0.650 0.223
Y 0.486 0.514 0.510
Y 0.514 0.486 0.010
Y 0.650 0.350 0.723
Y 0.829 0.171 0.510
Y 0.994 0.006 0.265
In 0.342 0.658 0.771
In 0.658 0.342 0.271
CELL_PARAMETERS angstrom
2.828 -8.646 0.000
2.828 8.646 0.000
0.000 0.000 7.718
```

Summary:
Its density of states at the Fermi level is 19.40 states/eV/cell. The total magnetization is 0.001 μB/atom. The space group is No. 36.

Relative energies with respect to the most stable structure, expressed in eV/atom: version i 0.275; version ii 0.000.